1.
The following is a DFT calculation (PBE) of crystalline Pr2Tm3PuAs6 at its relaxed geometry.

Cell: 4.1655 8.3112 9.2874 Å, 102.79 102.96 90.00°
Closest atoms and distances in Å follow each position.
Atoms (fractional coordinates):
Pr (0.8336, 0.6661, 0.6673)  6 As 3.00-3.01
Pr (0.1664, 0.3339, 0.3327)  6 As 3.00-3.01
Tm (0.5000, 0.5000, 0.0000)  6 As 2.88-2.94
Tm (0.8322, 0.1661, 0.6644)  6 As 2.88-2.92
Tm (0.1678, 0.8339, 0.3356)  6 As 2.88-2.92
Pu (0.5000, 0.0000, 0.0000)  6 As 2.94-2.95
As (0.3332, 0.9268, 0.6663)  3 Tm 2.88-2.92, 1 Pu 2.94, 2 Pr 3.01
As (0.6633, 0.5925, 0.3265)  3 Tm 2.88, 3 Pr 3.00
As (0.6668, 0.0732, 0.3337)  3 Tm 2.88-2.92, 1 Pu 2.94, 2 Pr 3.01
As (0.9962, 0.2487, 0.9924)  3 Tm 2.89-2.94, 2 Pu 2.95, 1 Pr 3.00
As (0.0038, 0.7513, 0.0076)  3 Tm 2.89-2.94, 2 Pu 2.95, 1 Pr 3.00
As (0.3367, 0.4075, 0.6735)  3 Tm 2.88, 3 Pr 3.00

Values from the calculation:
Calculated volume ... 305.1 Å³ per cell
M_tot ... 0.41 μB per atom
Final energy ... -6.83 eV per atom
ΔE_f ... -16.82 eV/f.u.
Crystal system ... monoclinic

2.
The following is a DFT calculation (PBE) of crystalline LiZn2Cd2 at its relaxed geometry.

Cell: 7.9096 7.9096 3.0617 Å, 90.00 90.00 90.00°
Closest atoms and distances in Å follow each position.
Atoms (fractional coordinates):
Zn (0.3838, 0.8838, 0.0000)  1 Zn 2.60, 6 Cd 2.71-2.87
Zn (0.8838, 0.6162, 0.0000)  1 Zn 2.60, 6 Cd 2.71-2.87
Zn (0.6162, 0.1162, 0.0000)  1 Zn 2.60, 6 Cd 2.71-2.87
Zn (0.1162, 0.3838, 0.0000)  1 Zn 2.60, 6 Cd 2.71-2.87
Li (0.0000, 0.0000, 0.0000)  2 Li 3.06, 4 Zn 3.17, 8 Cd 3.27
Li (0.5000, 0.5000, 0.0000)  2 Li 3.06, 4 Zn 3.17, 8 Cd 3.27
Cd (0.1835, 0.6835, 0.5000)  6 Zn 2.71-2.87
Cd (0.6835, 0.8165, 0.5000)  6 Zn 2.71-2.87
Cd (0.8165, 0.3165, 0.5000)  6 Zn 2.71-2.87
Cd (0.3165, 0.1835, 0.5000)  6 Zn 2.71-2.87

Values from the calculation:
Calculated volume ... 191.5 Å³ per cell
M_tot ... 0.00 μB per atom
Energy above the lowest structure with this stoichiometry ... 0.050 eV per atom
Final energy ... -1.29 eV per atom
ΔE_f ... -0.17 eV/f.u.
Crystal system ... tetragonal

3.
The following is a DFT calculation (PBE) of crystalline Cs3Sn5Sb2 at its relaxed geometry.

Cell: 7.5996 11.0374 11.0374 Å, 70.59 69.86 69.86°
Closest atoms and distances in Å follow each position.
Atoms (fractional coordinates):
Cs (0.2500, 0.0000, 0.0000)  4 Sb 3.73, 2 Cs 3.80
Cs (0.7500, 0.0000, 0.0000)  4 Sb 3.73, 2 Cs 3.80
Cs (0.3761, 0.3747, 0.8731)  3 Sb 3.74-4.11, 4 Sn 4.13
Cs (0.6239, 0.6253, 0.1269)  3 Sb 3.74-4.11, 4 Sn 4.13
Cs (0.8761, 0.8731, 0.3747)  3 Sb 3.74-4.11, 4 Sn 4.13
Cs (0.1239, 0.1269, 0.6253)  3 Sb 3.74-4.11, 4 Sn 4.13
Sn (0.2500, 0.5000, 0.5000)  4 Sn 3.13
Sn (0.7500, 0.5000, 0.5000)  4 Sn 3.13
Sn (0.5144, 0.7356, 0.7356)  2 Sb 3.07, 2 Sn 3.13
Sn (0.9856, 0.2644, 0.2644)  2 Sb 3.07, 2 Sn 3.13
Sn (0.4856, 0.2644, 0.2644)  2 Sb 3.07, 2 Sn 3.13
Sn (0.0144, 0.7356, 0.7356)  2 Sb 3.07, 2 Sn 3.13
Sn (0.1177, 0.5058, 0.2589)  4 Sn 3.13, 1 Sb 3.13
Sn (0.8823, 0.4942, 0.7411)  4 Sn 3.13, 1 Sb 3.13
Sn (0.6177, 0.2589, 0.5058)  4 Sn 3.13, 1 Sb 3.13
Sn (0.3823, 0.7411, 0.4942)  4 Sn 3.13, 1 Sb 3.13
Sb (0.1641, 0.6977, 0.9742)  3 Sn 3.07-3.13
Sb (0.8359, 0.3023, 0.0258)  3 Sn 3.07-3.13
Sb (0.6641, 0.9742, 0.6977)  3 Sn 3.07-3.13
Sb (0.3359, 0.0258, 0.3023)  3 Sn 3.07-3.13

Values from the calculation:
Calculated volume ... 791.7 Å³ per cell
M_tot ... 0.00 μB per atom
Final energy ... -3.29 eV per atom
E_form (uncorrected) ... -200 kJ/mol of formula units
Crystal system ... orthorhombic

4.
The following is a DFT calculation (PBE) of crystalline LiInSn at its relaxed geometry.

Cell: 6.2147 4.5199 10.0537 Å, 90.00 90.00 90.00°
Closest atoms and distances in Å follow each position.
Atoms (fractional coordinates):
Li (0.1386, 0.2500, 0.0902)  5 In 3.10-3.33, 5 Sn 3.10-3.39, 2 Li 3.37
Li (0.3614, 0.7500, 0.5902)  5 In 3.10-3.33, 5 Sn 3.10-3.39, 2 Li 3.37
Li (0.8614, 0.7500, 0.9098)  5 In 3.10-3.33, 5 Sn 3.10-3.39, 2 Li 3.37
Li (0.6386, 0.2500, 0.4098)  5 In 3.10-3.33, 5 Sn 3.10-3.39, 2 Li 3.37
Sn (0.6374, 0.2500, 0.0730)  5 Li 3.10-3.39, 2 Sn 3.19, 5 In 3.26-3.35
Sn (0.8626, 0.7500, 0.5730)  5 Li 3.10-3.39, 2 Sn 3.19, 5 In 3.26-3.35
Sn (0.3626, 0.7500, 0.9270)  5 Li 3.10-3.39, 2 Sn 3.19, 5 In 3.26-3.35
Sn (0.1374, 0.2500, 0.4270)  5 Li 3.10-3.39, 2 Sn 3.19, 5 In 3.26-3.35
In (0.0998, 0.2500, 0.7597)  5 Li 3.10-3.33, 2 In 3.11, 5 Sn 3.26-3.35
In (0.4002, 0.7500, 0.2597)  5 Li 3.10-3.33, 2 In 3.11, 5 Sn 3.26-3.35
In (0.9002, 0.7500, 0.2403)  5 Li 3.10-3.33, 2 In 3.11, 5 Sn 3.26-3.35
In (0.5998, 0.2500, 0.7403)  5 Li 3.10-3.33, 2 In 3.11, 5 Sn 3.26-3.35

Values from the calculation:
Calculated volume ... 282.4 Å³ per cell
M_tot ... 0.00 μB per atom
Final energy ... -3.08 eV per atom
ΔE_f ... -0.58 eV/f.u.
Crystal system ... orthorhombic

5.
The following is a DFT calculation (PBE) of crystalline Sc4BiAs at its relaxed geometry.

Cell: 7.0894 6.4389 8.0579 Å, 104.86 108.06 108.98°
Closest atoms and distances in Å follow each position.
Atoms (fractional coordinates):
Sc (0.8821, 0.3112, 0.0687)  1 As 2.70
Sc (0.6866, 0.7574, 0.0687)  1 As 2.70
Sc (0.3063, 0.5795, 0.6196)  2 As 2.64-2.69
Sc (0.6937, 0.4205, 0.3804)  2 As 2.64-2.69
Sc (0.1867, 0.9599, 0.3804)  2 As 2.64-2.69
Sc (0.3134, 0.2426, 0.9313)  1 As 2.70
Sc (0.8133, 0.0401, 0.6196)  2 As 2.64-2.69
Sc (0.1179, 0.6888, 0.9313)  1 As 2.70
Bi (0.3904, 0.6404, 0.2808)  8 Sc 2.96-3.12
Bi (0.6096, 0.3596, 0.7192)  8 Sc 2.96-3.12
As (0.0659, 0.8159, 0.6318)  6 Sc 2.64-2.70
As (0.9341, 0.1841, 0.3682)  6 Sc 2.64-2.70

Values from the calculation:
Calculated volume ... 303.5 Å³ per cell
M_tot ... 0.00 μB per atom
Final energy ... -6.21 eV per atom
ΔE_f ... -3.38 eV/f.u.
Crystal system ... monoclinic

6.
The following is a DFT calculation (PBE) of crystalline Ta2SiHg at its relaxed geometry.

Cell: 3.7604 2.9603 6.6470 Å, 72.34 90.00 90.00°
Closest atoms and distances in Å follow each position.
Atoms (fractional coordinates):
Hg (0.5000, 0.2500, 0.2500)  8 Ta 2.95-3.00, 2 Hg 2.96, 2 Si 3.20
Si (0.5000, 0.7500, 0.7500)  4 Ta 2.57
Ta (0.0000, 0.9556, 0.9709)  2 Si 2.57
Ta (0.0000, 0.5444, 0.5291)  2 Si 2.57

Values from the calculation:
Calculated volume ... 70.5 Å³ per cell
M_tot ... 0.00 μB per atom
Final energy ... -7.26 eV per atom
E_form (uncorrected) ... 39 kJ/mol of formula units
Crystal system ... monoclinic

7.
The following is a DFT calculation (PBE) of crystalline SrRhNO2 at its relaxed geometry.

Cell: 4.4412 4.4412 4.8185 Å, 90.00 90.00 90.00°
Closest atoms and distances in Å follow each position.
Atoms (fractional coordinates):
Sr (0.0000, 0.0000, 0.0000)  4 O 2.22, 2 N 2.41
Rh (0.5000, 0.5000, 0.5000)  4 N 3.14, 8 O 3.28
O (0.0000, 0.5000, 0.0000)  2 Sr 2.22
O (0.5000, 0.0000, 0.0000)  2 Sr 2.22
N (0.0000, 0.0000, 0.5000)  2 Sr 2.41

Values from the calculation:
Calculated volume ... 95.0 Å³ per cell
M_tot ... 0.59 μB per atom
Final energy ... -4.23 eV per atom
E_form (uncorrected) ... 593 kJ/mol of formula units
Crystal system ... tetragonal

8.
The following is a DFT calculation (PBE) of crystalline CrNi3Cl at its relaxed geometry.

Cell: 4.1492 4.1492 4.1492 Å, 90.00 90.00 90.00°
Closest atoms and distances in Å follow each position.
Atoms (fractional coordinates):
Ni (0.0000, 0.5000, 0.0000)  2 Cl 2.07
Ni (0.0000, 0.0000, 0.5000)  2 Cl 2.07
Ni (0.5000, 0.0000, 0.0000)  2 Cl 2.07
Cl (0.0000, 0.0000, 0.0000)  6 Ni 2.07
Cr (0.5000, 0.5000, 0.5000)  12 Ni 2.93

Values from the calculation:
Calculated volume ... 71.4 Å³ per cell
M_tot ... 0.97 μB per atom
Final energy ... -5.07 eV per atom
E_form (uncorrected) ... 334 kJ/mol of formula units
Crystal system ... cubic